No. 1
Al2V2Ni7 | PBE | relaxed

Properties
Total DFT energy (no corrections) in eV/atom: -5.986

extended XYZ file:
```
11
Lattice="-1.410 2.589 -3.924 -0.051 -5.571 -3.659 -3.462 -1.886 2.923" Properties=species:S:1:pos:R:3 pbc="T T T"
Ni -1.767 -4.780 -1.058
Ni 0.000 0.000 0.000
Ni -2.447 -0.827 -1.275
Ni -0.721 -0.440 -3.101
Ni -3.157 -0.089 -3.602
Ni -2.477 -4.042 -3.385
Ni -4.202 -4.429 -1.559
V -1.183 -2.619 -2.067
V -3.741 -2.250 -2.593
Al -2.042 -4.249 -5.644
Al -2.881 -0.620 0.984
```

=====

No. 2
RbAlZnSb2 | PBE | relaxed

Properties
Raw formation energy in eV per atom: -0.260

extended XYZ file:
```
10
Lattice="-0.204 -4.246 1.222 5.852 2.970 3.293 -7.257 2.534 7.598" Properties=species:S:1:pos:R:3 pbc="T T T"
Sb -5.338 2.601 8.149
Sb 3.728 -1.343 3.964
Sb -1.072 -1.133 3.891
Sb -0.538 2.391 8.222
Rb -3.118 -0.165 6.916
Rb 1.508 1.422 5.197
Zn -2.893 2.881 9.531
Zn 1.283 -1.623 2.582
Al -0.637 0.540 1.772
Al -0.973 0.717 10.341
```

=====

No. 3
Li2CaTm2In2 | PBE | relaxed

Properties
Total DFT energy (no corrections) in eV/atom: -3.099

extended XYZ file:
```
7
Lattice="4.913 0.000 0.000 2.457 4.255 0.000 2.457 1.418 8.925" Properties=species:S:1:pos:R:3 pbc="T T T"
Tm 2.457 1.418 5.434
Tm 7.370 4.255 3.491
Ca 0.000 0.000 0.000
Li 4.913 2.837 7.091
Li 4.913 2.837 1.834
In 2.457 1.418 2.136
In 7.370 4.255 6.789
```

=====

No. 4
Ac2PrSi3Ni12 | PBE | relaxed

Properties
Raw formation energy in eV per atom: 0.016

extended XYZ file:
```
18
Lattice="7.948 0.252 0.179 4.144 6.787 0.179 4.144 2.412 6.346" Properties=species:S:1:pos:R:3 pbc="T T T"
Ni 5.318 1.615 1.145
Ni 7.857 6.894 2.431
Ni 6.363 6.024 4.273
Ni 4.030 3.826 1.145
Ni 9.874 3.427 2.431
Ni 7.857 4.573 5.702
Ni 12.207 5.625 5.558
Ni 10.920 7.837 5.558
Ni 8.381 2.558 4.273
Ni 8.381 4.878 1.001
Ni 12.207 7.105 3.471
Ni 4.030 2.346 3.233
Ac 6.464 3.762 2.669
Ac 9.773 5.689 4.035
Si 2.072 1.206 3.173
Si 2.072 3.394 0.089
Si 3.974 0.126 0.089
Pr 0.000 0.000 0.000
```

=====

Number 1: total moment 0.0 μB per cell. Number 2: total moment 0.0 μB per cell. Number 3: total moment 0.0 μB per cell. Number 4: total moment 0.0 μB per cell.